(1)
A relaxed SrPr2Cd4 crystal, computed with GGA-PBE.

Summary:
- DFT formation energy: -0.14 eV per atom

a b c (Å): 5.363 5.363 16.225
angles (deg): 90.00 90.00 90.00
Space group I4/mmm (No. 139)
Inequivalent atoms, fractional coordinates:
Sr (0.000, 0.000, 0.000) [2 per cell]
Pr (0.000, 0.000, 0.254) [4 per cell]
Cd (0.000, 0.500, 0.129) [8 per cell]

(2)
A relaxed Na2PrGeS4 crystal, computed with GGA-PBE.

Summary:
- Raw formation energy: -1.116 eV per atom

a b c (Å): 6.909 3.957 7.078
angles (deg): 90.00 108.82 90.00
Space group P2/m (No. 10)
Inequivalent atoms, fractional coordinates:
Na (0.000, 0.000, 0.000) [1 per cell]
Na (0.500, 0.500, 0.000) [1 per cell]
Pr (0.000, 0.500, 0.500) [1 per cell]
Ge (0.500, 0.000, 0.500) [1 per cell]
S (0.266, 0.000, 0.728) [2 per cell]
S (0.280, 0.500, 0.280) [2 per cell]

(3)
A relaxed Cs6Hg2Au crystal, computed with GGA-PBE.

Summary:
- Distance to the lowest polymorph of the same formula: 0 meV per atom
- DFT formation energy: -0.18 eV per atom

a b c (Å): 10.3903 10.3903 5.6761
angles (deg): 90.00 90.00 120.00
Space group P-62m (No. 189)
Inequivalent atoms, fractional coordinates:
Cs (0.0000, 0.4033, 0.0000) [3 per cell]
Cs (0.0000, 0.7537, 0.5000) [3 per cell]
Hg (0.3333, 0.6667, 0.5000) [2 per cell]
Au (0.0000, 0.0000, 0.0000) [1 per cell]

(4)
A relaxed In2CuAu crystal, computed with GGA-PBE.

Summary:
- DFT formation energy: -0.01 eV per atom

a b c (Å): 9.175 3.685 4.886
angles (deg): 90.00 101.20 90.00
Space group Cm (No. 8)
Inequivalent atoms, fractional coordinates:
In (0.000, 0.000, 0.000) [2 per cell]
In (0.236, 0.000, 0.672) [2 per cell]
Cu (0.492, 0.000, 0.463) [2 per cell]
Au (0.244, 0.500, 0.224) [2 per cell]

Number 1: size of the total moment 0.50 μB/f.u.. Number 2: size of the total moment 0.00 μB/f.u.. Number 3: size of the total moment 0.00 μB/f.u.. Number 4: size of the total moment 0.00 μB/f.u..